Entry 1:
First-principles (GGA-PBE) data for a relaxed Hg2TeRu crystal, as listed in the Alexandria database.

## Properties
symmetry = P4mm (99)
total DFT energy (no corrections) = -12.617 eV for the cell shown

a = 3.187 Å, b = 3.187 Å, c = 9.249 Å
α = 90.00°, β = 90.00°, γ = 89.97°
Atoms (fractional coordinates):
Hg (0.000, 0.000, 0.019)
Hg (0.500, 0.500, 0.295)
Ru (0.000, 0.000, 0.516)
Te (0.500, 0.500, 0.670)



Entry 2:
First-principles (GGA-PBE) data for a relaxed Fe2SnBiCl crystal, as listed in the Alexandria database.

## Properties
symmetry = P4/mmm (123)
total DFT energy (no corrections) = -21.514 eV for the cell shown

a = 5.018 Å, b = 6.201 Å, c = 5.018 Å
α = 90.00°, β = 90.00°, γ = 90.00°
Atoms (fractional coordinates):
Fe (0.000, 0.000, 0.500)
Fe (0.500, 0.000, 0.000)
Cl (0.500, 0.500, 0.500)
Bi (0.000, 0.000, 0.000)
Sn (0.000, 0.500, 0.000)



Entry 3:
First-principles (GGA-PBE) data for a relaxed ZrGaS2 crystal, as listed in the Alexandria database.

## Properties
symmetry = R-3m (166)
total DFT energy (no corrections) = -21.597 eV for the cell shown

a = 8.071 Å, b = 8.071 Å, c = 8.071 Å
α = 25.14°, β = 25.14°, γ = 25.14°
Atoms (fractional coordinates):
S (0.893, 0.893, 0.893)
S (0.107, 0.107, 0.107)
Ga (0.500, 0.500, 0.500)
Zr (0.000, 0.000, 0.000)



Please write out number 1 again, unchanged.
First-principles (GGA-PBE) data for a relaxed Hg2TeRu crystal, as listed in the Alexandria database.

## Properties
symmetry = P4mm (99)
total DFT energy (no corrections) = -12.617 eV for the cell shown

a = 3.187 Å, b = 3.187 Å, c = 9.249 Å
α = 90.00°, β = 90.00°, γ = 89.97°
Atoms (fractional coordinates):
Hg (0.000, 0.000, 0.019)
Hg (0.500, 0.500, 0.295)
Ru (0.000, 0.000, 0.516)
Te (0.500, 0.500, 0.670)